Record 1
PBE Fe2CuRe, optimized geometry; offset from the most stable computed form = 0.000 eV per atom
1.0
-1.134 2.247 -0.515
-0.450 -1.492 -2.043
-6.830 -2.658 3.444
Cu Fe Re
1 2 1
direct
0.500 0.500 0.750
0.000 0.000 0.993
0.000 0.000 0.507
0.500 0.500 0.250

---

Record 2
PBE FeCu2Re, optimized geometry; offset from the most stable computed form = 0.237 eV per atom
1.0
4.488 0.000 0.000
0.000 4.488 0.000
0.000 0.000 2.584
Cu Fe Re
2 1 1
direct
0.000 0.000 0.000
0.500 0.500 0.000
0.500 0.000 0.500
0.000 0.500 0.500

---

| no. | DOS(E_F) (states/eV/atom) | DFT formation energy (eV/atom) |
| --- | --- | --- |
| 1 | 0.876 | 0.1740 |
| 2 | 0.756 | 0.4225 |